[1]
Material: SrPmCu2As2
Method: DFT, PBE-GGA
State: optimized geometry

Values from the calculation:
spin magnetization	0.00	μB/f.u.
formation energy	-0.851	eV per atom

abc: 4.195 4.195 8.479
angles: 90.00 90.00 120.00
Fractional positions:
Sr  0.000  0.000  0.000
Pm  0.000  0.000  0.500
Cu  0.333  0.667  0.725
Cu  0.667  0.333  0.275
As  0.333  0.667  0.259
As  0.667  0.333  0.741

[2]
Material: LiDyP
Method: DFT, PBE-GGA
State: optimized geometry

Values from the calculation:
spin magnetization	0.00	μB/f.u.
formation energy	-0.923	eV per atom

abc: 4.466 4.466 4.466
angles: 60.00 60.00 60.00
Fractional positions:
Li  0.000  0.000  0.000
Dy  0.500  0.500  0.500
P  0.250  0.250  0.250